No. 1
VASP calculation (GGA-PBE) on crystalline Tb4Nd3Al4 at its relaxed geometry.

abc: 5.180 6.991 9.601
angles: 111.35 105.65 90.00
Atoms (fractional coordinates):
Tb  0.322  0.552  0.643
Tb  0.678  0.909  0.357
Tb  0.322  0.091  0.643
Tb  0.678  0.448  0.357
Al  0.500  0.195  0.000
Al  0.821  0.321  0.641
Al  0.179  0.679  0.359
Al  0.500  0.805  0.000
Nd  0.896  0.896  0.793
Nd  0.104  0.104  0.207
Nd  0.000  0.500  0.000

Values from the calculation:
Space group: Immm
V: 309.94 Å³ per cell
Crystal system: orthorhombic
Magnetization: 0.00 μB per cell
ρ: 6.302 g/cm3
Fermi-level density of states: 1.061 states/eV per atom

---

No. 2
VASP calculation (GGA-PBE) on crystalline Tb3NdAl4 at its relaxed geometry.

abc: 5.149 7.313 10.298
angles: 90.00 90.00 90.00
Atoms (fractional coordinates):
Al  0.001  0.756  0.250
Al  0.999  0.756  0.750
Al  0.999  0.244  0.750
Al  0.001  0.244  0.250
Al  0.500  0.756  0.000
Al  0.500  0.244  0.000
Al  0.500  0.756  0.500
Al  0.500  0.244  0.500
Tb  0.500  0.000  0.750
Tb  0.500  0.500  0.250
Tb  0.500  0.000  0.250
Tb  0.000  0.000  0.000
Tb  0.000  0.000  0.500
Tb  0.500  0.500  0.750
Nd  0.000  0.500  0.500
Nd  0.000  0.500  0.000

Values from the calculation:
Space group: P4/mmm
V: 387.81 Å³ per cell
Crystal system: tetragonal
Magnetization: 0.00 μB per cell
ρ: 6.242 g/cm3
Fermi-level density of states: 0.411 states/eV per atom

---

The calculation returns the following formation energy from the elements values, one per record and in order: -0.19 -0.38 eV per atom.